Density functional theory data (GGA-PBE) for a relaxed structure of Er3Sc2Ag2.

Cell lengths 3.522, 3.449, 14.815 Å; angles 90.00, 83.17, 90.00 degrees
Site moments in Bohr magnetons follow the coordinates.
Fractional coordinates of all 7 atoms:
Er1 0.128 0.000 0.745  0.18
Er2 0.000 0.000 0.000  -0.02
Ag1 0.563 0.500 0.874  0.00
Er3 0.872 0.000 0.255  0.18
Ag2 0.437 0.500 0.126  0.00
Sc1 0.295 0.500 0.410  0.26
Sc2 0.705 0.500 0.590  0.26

Output
Excess energy over the best structure of this formula in the dataset ... 2.8 kJ/mol of atoms
Formation energy ... -0.072 eV per atom
Space-group type ... Cmmm (65)
Total energy ... -4.652 eV per atom